# 1
## KCuNi2 (GGA-PBE)

Data for a relaxed KCuNi2 crystal.

D(E_F) (states/eV/f.u.): 4.6
Energy relative to the elements (kcal/mol of atoms): 22.15
Space group: I-4m2, No. 119
Spin magnetization (μB per formula unit): 0.000

Unit cell a=4.491 b=4.491 c=4.491 alpha=119.85 beta=119.85 gamma=90.26
Fractional positions:
K 0.750 0.250 0.500
Cu 0.500 0.500 0.000
Ni 0.000 0.000 0.000
Ni 0.250 0.750 0.500

***

# 2
## Dy4HoIn5 (GGA-PBE)

Data for a relaxed Dy4HoIn5 crystal.

D(E_F) (states/eV/f.u.): 6.1
Energy relative to the elements (kcal/mol of atoms): -10.68
Space group: P4/mmm, No. 123
Spin magnetization (μB per formula unit): 0.000

Unit cell a=3.738 b=3.738 c=18.982 alpha=90.00 beta=90.00 gamma=90.00
Fractional positions:
In 0.500 0.500 0.901
In 0.500 0.500 0.700
In 0.500 0.500 0.500
In 0.500 0.500 0.099
In 0.500 0.500 0.300
Dy 0.000 0.000 0.400
Dy 0.000 0.000 0.199
Dy 0.000 0.000 0.600
Dy 0.000 0.000 0.801
Ho 0.000 0.000 0.000

***

# 3
## ThTiZnIr2 (GGA-PBE)

Data for a relaxed ThTiZnIr2 crystal.

D(E_F) (states/eV/f.u.): 3.2
Energy relative to the elements (kcal/mol of atoms): -16.35
Space group: I-4m2, No. 119
Spin magnetization (μB per formula unit): 0.000

Unit cell a=3.963 b=3.963 c=6.700 alpha=107.20 beta=107.20 gamma=90.00
Fractional positions:
Ti 0.250 0.750 0.500
Ir 0.389 0.389 0.778
Ir 0.611 0.611 0.222
Th 0.000 0.000 0.000
Zn 0.750 0.250 0.500

***

# 4
## Ac3SbRu (GGA-PBE)

Data for a relaxed Ac3SbRu crystal.

D(E_F) (states/eV/f.u.): 3.4
Space group: P2_1/m, No. 11
Formation energy without anion corrections (eV/atom): -0.50
Spin magnetization (μB per formula unit): 0.000

Unit cell a=4.521 b=8.747 c=9.107 alpha=101.23 beta=90.00 gamma=90.00
Fractional positions:
Ac 0.250 0.329 0.589
Ac 0.750 0.077 0.290
Ac 0.250 0.712 0.062
Ac 0.750 0.288 0.938
Ac 0.250 0.923 0.710
Ac 0.750 0.671 0.411
Ru 0.750 0.092 0.611
Ru 0.250 0.908 0.389
Sb 0.750 0.609 0.779
Sb 0.250 0.391 0.221

***

# 5
## Tl2CdCu (GGA-PBE)

Data for a relaxed Tl2CdCu crystal.

D(E_F) (states/eV/f.u.): 2.6
Energy relative to the elements (kcal/mol of atoms): 3.20
Space group: P4mm, No. 99
Spin magnetization (μB per formula unit): 0.000

Unit cell a=3.338 b=3.338 c=8.581 alpha=90.00 beta=90.00 gamma=90.00
Fractional positions:
Cu 0.500 0.500 0.725
Tl 0.000 0.000 0.945
Tl 0.500 0.500 0.273
Cd 0.000 0.000 0.557

***

# 6
## SiMoP (GGA-PBE)

Data for a relaxed SiMoP crystal.

D(E_F) (states/eV/f.u.): 1.6
Space group: Pnma, No. 62
Formation energy without anion corrections (eV/atom): -0.31
Spin magnetization (μB per formula unit): 0.000

Unit cell a=3.190 b=5.297 c=11.016 alpha=90.00 beta=90.00 gamma=90.00
Fractional positions:
Mo 0.750 0.872 0.679
Mo 0.250 0.628 0.179
Mo 0.250 0.128 0.321
Mo 0.750 0.372 0.821
P 0.250 0.022 0.842
P 0.750 0.978 0.158
P 0.750 0.478 0.342
P 0.250 0.522 0.658
Si 0.750 0.845 0.447
Si 0.250 0.655 0.947
Si 0.750 0.345 0.053
Si 0.250 0.155 0.553